This record from the Alexandria database describes CsSr2TiPd after structural relaxation. The functional is PBE.

The space group is P4/mmm (No. 123) and the conventional cell measures 5.942, 5.942 and 6.477 Å, with angles of 90.00, 90.00 and 90.00 degrees. Symmetry generates all atoms from Cs at (0.000, 0.000, 0.000), Sr at (0.000, 0.500, 0.500), Ti at (0.500, 0.500, 0.000) and Pd at (0.000, 0.000, 0.500).

As for the total magnetic moment: 3.430 μB per cell. The calculation puts the energy relative to the elements at 262 kJ/mol of formula units.



This record from the Alexandria database describes Ta2Mn after structural relaxation. The functional is PBE.

The space group is P6_3/mmc (No. 194) and the conventional cell measures 5.4229, 5.4229 and 8.6493 Å, with angles of 90.00, 90.00 and 120.00 degrees. Symmetry generates all atoms from Ta at (0.0000, 0.0000, 0.0000), Ta at (0.1700, 0.3400, 0.2500) and Mn at (0.3333, 0.6667, 0.5618).

As for the total magnetic moment: 11.111 μB per cell. The calculation puts the energy relative to the elements at 181 kJ/mol of formula units.



This record from the Alexandria database describes KZrTlBr6 after structural relaxation. The functional is PBE.

The space group is P-31c (No. 163) and the conventional cell measures 7.9235, 7.9235 and 13.1992 Å, with angles of 90.00, 90.00 and 120.00 degrees. Symmetry generates all atoms from K at (0.0000, 0.0000, 0.0000), Zr at (0.3333, 0.6667, 0.2500), Tl at (0.3333, 0.6667, 0.7500) and Br at (0.0611, 0.3926, 0.1331).

As for the total magnetic moment: 0.000 μB per cell. The formation energy from raw total energies comes out at -1.37 eV/atom.



This record from the Alexandria database describes LaHS2 after structural relaxation. The functional is PBE.

The space group is Fm-3m (No. 225) and the conventional cell measures 6.815, 6.815 and 6.815 Å, with angles of 90.00, 90.00 and 90.00 degrees. Symmetry generates all atoms from La at (0.000, 0.000, 0.000), H at (0.000, 0.000, 0.500) and S at (0.250, 0.250, 0.250).

The calculation puts the energy above the most stable polymorph in this dataset at 0.7932 eV/atom. As for the total magnetic moment: 0.299 μB per cell.



This record from the Alexandria database describes Pm2NdLu after structural relaxation. The functional is PBE.

The space group is P4/mmm (No. 123) and the conventional cell measures 3.610, 3.610 and 10.216 Å, with angles of 90.00, 90.00 and 90.00 degrees. Symmetry generates all atoms from Pm at (0.000, 0.000, 0.243), Nd at (0.500, 0.500, 0.500) and Lu at (0.500, 0.500, 0.000).

The calculation puts the energy above the most stable polymorph in this dataset at 0.0091 eV/atom. As for the total magnetic moment: 0.000 μB per cell. The calculation puts the energy relative to the elements at 10 kJ/mol of formula units.



This record from the Alexandria database describes NdAl3Pd after structural relaxation. The functional is PBE.

The space group is Pnma (No. 62) and the conventional cell measures 8.424, 4.245 and 11.073 Å, with angles of 90.00, 90.00 and 90.00 degrees. Symmetry generates all atoms from Nd at (0.184, 0.250, 0.013), Al at (0.063, 0.250, 0.587), Al at (0.118, 0.750, 0.793), Al at (0.141, 0.750, 0.220) and Pd at (0.097, 0.250, 0.355).

As for the total magnetic moment: 0.000 μB per cell. The calculation puts the energy relative to the elements at -327 kJ/mol of formula units.



This record from the Alexandria database describes LaMg4Tl5 after structural relaxation. The functional is PBE.

The space group is P4/mmm (No. 123) and the conventional cell measures 3.709, 3.709 and 18.773 Å, with angles of 90.00, 90.00 and 90.00 degrees. Symmetry generates all atoms from La at (0.000, 0.000, 0.000), Mg at (0.000, 0.000, 0.211), Mg at (0.000, 0.000, 0.403), Tl at (0.500, 0.500, 0.118), Tl at (0.500, 0.500, 0.307) and Tl at (0.500, 0.500, 0.500).

As for the total magnetic moment: 0.000 μB per cell. The calculation puts the energy relative to the elements at -114 kJ/mol of formula units.



This record from the Alexandria database describes TbPmPa2Sb4 after structural relaxation. The functional is PBE.

The space group is P2/m (No. 10) and the conventional cell measures 7.615, 4.398 and 7.672 Å, with angles of 90.00, 109.34 and 90.00 degrees. Symmetry generates all atoms from Tb at (0.000, 0.000, 0.000), Pm at (0.500, 0.500, 0.000), Pa at (0.000, 0.500, 0.500), Pa at (0.500, 0.000, 0.500), Sb at (0.246, 0.000, 0.746) and Sb at (0.248, 0.500, 0.252).

As for the total magnetic moment: 1.836 μB per cell. The formation energy from raw total energies comes out at -0.79 eV/atom.



This record from the Alexandria database describes EuYTlAg after structural relaxation. The functional is PBE.

The space group is F-43m (No. 216) and the conventional cell measures 7.609, 7.609 and 7.609 Å, with angles of 90.00, 90.00 and 90.00 degrees. Symmetry generates all atoms from Eu at (0.000, 0.000, 0.000), Y at (0.000, 0.000, 0.500), Tl at (0.250, 0.250, 0.250) and Ag at (0.250, 0.250, 0.750).

As for the total magnetic moment: 27.642 μB per cell. The calculation puts the energy relative to the elements at -125 kJ/mol of formula units.



This record from the Alexandria database describes PmTcF6 after structural relaxation. The functional is PBE.

The space group is P-1 (No. 2) and the conventional cell measures 5.841, 5.859 and 6.063 Å, with angles of 61.33, 61.22 and 60.31 degrees. Symmetry generates all atoms from Pm at (0.000, 0.000, 0.000), Tc at (0.500, 0.500, 0.500), F at (0.189, 0.734, 0.740), F at (0.266, 0.666, 0.262) and F at (0.340, 0.190, 0.735).

As for the total magnetic moment: 2.000 μB per cell. The formation energy from raw total energies comes out at -2.91 eV/atom.



This record from the Alexandria database describes Ba2FeRe after structural relaxation. The functional is PBE.

The space group is Imm2 (No. 44) and the conventional cell measures 3.763, 5.198 and 12.490 Å, with angles of 90.00, 90.00 and 90.00 degrees. Symmetry generates all atoms from Ba at (0.000, 0.000, 0.000), Ba at (0.000, 0.500, 0.226), Fe at (0.000, 0.500, 0.817) and Re at (0.000, 0.000, 0.413).

The calculation puts the energy above the most stable polymorph in this dataset at 0.2892 eV/atom. As for the total magnetic moment: 0.232 μB per cell. The calculation puts the energy relative to the elements at 279 kJ/mol of formula units.



This record from the Alexandria database describes CrCoP2S after structural relaxation. The functional is PBE.

The space group is P4/mmm (No. 123) and the conventional cell measures 4.425, 4.425 and 4.429 Å, with angles of 90.00, 90.00 and 90.00 degrees. Symmetry generates all atoms from Cr at (0.000, 0.000, 0.000), Co at (0.500, 0.500, 0.500), P at (0.000, 0.500, 0.000) and S at (0.000, 0.000, 0.500).

The calculation puts the energy above the most stable polymorph in this dataset at 0.0000 eV/atom. As for the total magnetic moment: 1.039 μB per cell. The formation energy from raw total energies comes out at 0.78 eV/atom.



This record from the Alexandria database describes HgBiSbAu2 after structural relaxation. The functional is PBE.

The space group is C2/m (No. 12) and the conventional cell measures 13.499, 4.447 and 10.665 Å, with angles of 90.00, 126.24 and 90.00 degrees. Symmetry generates all atoms from Hg at (0.134, 0.000, 0.141), Bi at (0.126, 0.500, 0.896), Sb at (0.091, 0.000, 0.437), Au at (0.146, 0.500, 0.329) and Au at (0.174, 0.000, 0.750).

As for the total magnetic moment: 0.000 μB per cell. The formation energy from raw total energies comes out at -0.01 eV/atom.



| no. | DOS at the Fermi energy (states/eV/f.u.) | total energy (eV/atom) | calculated volume (A^3/atom) |
| --- | --- | --- | --- |
| 1 | 4.32 | -2.919 | 45.74 |
| 2 | 4.62 | -10.332 | 18.36 |
| 3 | 0.00 | -3.821 | 39.87 |
| 4 | 2.62 | -4.741 | 19.78 |
| 5 | 5.94 | -4.673 | 33.28 |
| 6 | 2.13 | -4.915 | 19.80 |
| 7 | 5.42 | -2.432 | 25.83 |
| 8 | 12.28 | -6.398 | 30.31 |
| 9 | 11.30 | -5.813 | 27.53 |
| 10 | 5.04 | -6.202 | 18.73 |
| 11 | 5.41 | -5.467 | 30.54 |
| 12 | 6.16 | -5.554 | 17.35 |
| 13 | 1.64 | -2.983 | 25.82 |